# 1
Computed, not measured: a geometry-optimized IrOsPb2 structure at the PBE level of DFT.

Lattice parameters (Å, degrees): 3.2445 3.2445 25.9192 90.00 90.00 120.00
Last column: nearest neighbours and their distance in Å.
Space group R-3m (No. 166, hexagonal axes)
Inequivalent atoms, fractional coordinates:
Ir: 0.0000 0.0000 0.0000 (multiplicity 3)  6 Pb 2.87
Os: 0.0000 0.0000 0.5000 (multiplicity 3)  6 Pb 2.85
Pb: 0.0000 0.0000 0.2496 (multiplicity 6)  3 Os 2.85, 3 Ir 2.87

Properties
Magnetization ... 0.00 μB/f.u.
Total DFT energy (no corrections) ... -0.43992 Ry per atom
E_form ... 891 meV/atom
ΔE to the lowest computed polymorph ... 1.69 eV/f.u.

=====

# 2
Computed, not measured: a geometry-optimized IrOsPb2S structure at the PBE level of DFT.

Lattice parameters (Å, degrees): 5.3286 5.3286 4.6962 90.00 90.00 90.00
Last column: nearest neighbours and their distance in Å.
Space group P4/mmm (No. 123)
Inequivalent atoms, fractional coordinates:
Ir: 0.0000 0.0000 0.0000 (multiplicity 1)  2 Os 2.35
Os: 0.0000 0.0000 0.5000 (multiplicity 1)  2 Ir 2.35
Pb: 0.0000 0.5000 0.5000 (multiplicity 2)  2 Os 2.66
S: 0.5000 0.5000 0.0000 (multiplicity 1)  8 Pb 3.55, 4 Ir 3.77

Properties
E_form (uncorrected) ... 4.9 eV/f.u.
Magnetization ... 0.04 μB/f.u.
Total DFT energy (no corrections) ... -0.39369 Ry per atom

=====

# 3
Computed, not measured: a geometry-optimized SbIrOs2Pb structure at the PBE level of DFT.

Lattice parameters (Å, degrees): 5.0060 5.0060 4.9674 90.00 90.00 90.00
Last column: nearest neighbours and their distance in Å.
Space group P4/mmm (No. 123)
Inequivalent atoms, fractional coordinates:
Sb: 0.0000 0.0000 0.0000 (multiplicity 1)  8 Os 3.53, 4 Ir 3.54
Ir: 0.5000 0.5000 0.0000 (multiplicity 1)  2 Pb 2.48
Os: 0.0000 0.5000 0.5000 (multiplicity 2)  2 Pb 2.50
Pb: 0.5000 0.5000 0.5000 (multiplicity 1)  2 Ir 2.48, 4 Os 2.50

Properties
E_form (uncorrected) ... 12.9 eV/f.u.
Magnetization ... 2.52 μB/f.u.
Total DFT energy (no corrections) ... -0.38552 Ry per atom

=====

# 4
Computed, not measured: a geometry-optimized Sc2IrOsPb structure at the PBE level of DFT.

Lattice parameters (Å, degrees): 4.9968 4.9968 4.8082 90.00 90.00 90.00
Last column: nearest neighbours and their distance in Å.
Space group P4/mmm (No. 123)
Inequivalent atoms, fractional coordinates:
Sc: 0.0000 0.5000 0.0000 (multiplicity 2)  2 Os 2.50
Ir: 0.0000 0.0000 0.5000 (multiplicity 1)  2 Os 2.40
Os: 0.0000 0.0000 0.0000 (multiplicity 1)  2 Ir 2.40, 4 Sc 2.50
Pb: 0.5000 0.5000 0.5000 (multiplicity 1)  8 Sc 3.47, 4 Ir 3.53

Properties
Magnetization ... 0.00 μB/f.u.
Total DFT energy (no corrections) ... -0.52223 Ry per atom
E_form ... 187 meV/atom

=====

Q: The highest magnetization belongs to which entry?
A: SbIrOs2Pb